First-principles (PBE+U) data for an optimized crystal structure of TaCrN2O, as listed in Alexandria via LeMat-Bulk.

abc: 4.1034 4.1034 3.9092
angles: 90.00 90.00 90.00
Fractional positions:
Ta  0.0000  0.0000  0.0000
Cr  0.5000  0.5000  0.5000
N  0.0000  0.5000  0.0000
N  0.5000  0.0000  0.0000
O  0.0000  0.0000  0.5000

Spin magnetization   3.1 μB/f.u.
Density   6.987 Mg/m³
Raw total energy   -43.281 eV per formula unit